(1)
Computed, not measured: a relaxed GdAsNO crystal at the PBE-GGA level of DFT.

Summary:
space group	P4/nmm (129)

POSCAR file:
```
GdAsNO
1.0
4.898 0.000 0.000
0.000 4.898 0.000
0.000 0.000 4.743
Gd As N O
2 2 2 2
Direct
0.250 0.750 0.000 Gd
0.750 0.250 0.000 Gd
0.250 0.250 0.477 As
0.750 0.750 0.523 As
0.250 0.250 0.087 N
0.750 0.750 0.913 N
0.250 0.750 0.500 O
0.750 0.250 0.500 O
```

=====

(2)
Computed, not measured: a relaxed GdAsN2O crystal at the PBE-GGA level of DFT.

Summary:
space group	P1 (1)

POSCAR file:
```
GdAsN2O
1.0
5.462 0.000 0.000
-2.721 4.768 0.000
-0.194 -2.729 8.894
Gd As N O
4 4 8 4
Direct
0.000 0.000 0.000 Gd
0.130 0.360 0.706 Gd
0.462 0.896 0.426 Gd
0.733 0.442 0.206 Gd
0.093 0.152 0.348 As
0.383 0.724 0.073 As
0.486 0.060 0.789 As
0.766 0.645 0.593 As
0.092 0.893 0.749 N
0.160 0.872 0.200 N
0.470 0.046 0.985 N
0.500 0.350 0.418 N
0.531 0.767 0.678 N
0.653 0.293 0.666 N
0.747 0.026 0.217 N
0.928 0.942 0.482 N
0.036 0.432 0.950 O
0.056 0.470 0.449 O
0.316 0.470 0.190 O
0.563 0.573 0.951 O
```

=====

(3)
Computed, not measured: a relaxed GdAsN2O crystal at the PBE-GGA level of DFT.

Summary:
space group	P2_1/c (14)

POSCAR file:
```
GdAsN2O
1.0
7.885 0.000 0.000
0.000 7.387 0.000
-7.842 0.000 7.909
Gd As N O
8 8 16 8
Direct
0.049 0.250 0.021 Gd
0.049 0.250 0.521 Gd
0.449 0.731 0.469 Gd
0.449 0.769 0.969 Gd
0.551 0.231 0.031 Gd
0.551 0.269 0.531 Gd
0.951 0.750 0.479 Gd
0.951 0.750 0.979 Gd
0.037 0.000 0.256 As
0.037 0.500 0.756 As
0.480 0.504 0.217 As
0.480 0.996 0.717 As
0.520 0.004 0.283 As
0.520 0.496 0.783 As
0.963 0.000 0.744 As
0.963 0.500 0.244 As
0.040 0.747 0.816 N
0.040 0.753 0.316 N
0.215 0.548 0.706 N
0.215 0.952 0.206 N
0.285 0.056 0.490 N
0.285 0.444 0.990 N
0.461 0.242 0.777 N
0.461 0.258 0.277 N
0.539 0.742 0.723 N
0.539 0.758 0.223 N
0.715 0.556 0.010 N
0.715 0.944 0.510 N
0.785 0.048 0.794 N
0.785 0.452 0.294 N
0.960 0.247 0.684 N
0.960 0.253 0.184 N
0.231 0.548 0.205 O
0.231 0.952 0.705 O
0.266 0.042 0.974 O
0.266 0.458 0.474 O
0.734 0.542 0.526 O
0.734 0.958 0.026 O
0.769 0.048 0.295 O
0.769 0.452 0.795 O
```

=====

(4)
Computed, not measured: a relaxed GdAsN2O crystal at the PBE-GGA level of DFT.

Summary:
space group	Pmma (51)

POSCAR file:
```
GdAsN2O
1.0
5.437 0.000 0.000
0.000 3.651 0.000
0.000 0.000 5.574
Gd As N O
2 2 4 2
Direct
0.250 0.000 0.220 Gd
0.750 0.000 0.780 Gd
0.250 0.500 0.719 As
0.750 0.500 0.281 As
0.000 0.500 0.500 N
0.250 0.000 0.800 N
0.500 0.500 0.500 N
0.750 0.000 0.200 N
0.000 0.500 0.000 O
0.500 0.500 0.000 O
```

=====

no.,energy (eV/atom)
1,-6.738
2,-7.023
3,-7.036
4,-6.884